# 1
Computed, not measured: crystalline TbLuNp at its relaxed geometry at the PBE level of DFT.

symmetry: F-43m, No. 216
size of the total moment: 5.12 μB/f.u.
ΔH_f (0 K): 26.4 kcal/mol of atoms
total energy: -6.165 eV/atom

```
12
Lattice="7.448 0.000 0.000 0.000 7.448 0.000 0.000 0.000 7.448" Properties=species:S:1:pos:R:3 pbc="T T T"
Tb 0.000 0.000 0.000
Tb 0.000 3.724 3.724
Tb 3.724 0.000 3.724
Tb 3.724 3.724 0.000
Lu 1.862 1.862 5.586
Lu 1.862 5.586 1.862
Lu 5.586 1.862 1.862
Lu 5.586 5.586 5.586
Np 0.000 0.000 3.724
Np 0.000 3.724 0.000
Np 3.724 0.000 0.000
Np 3.724 3.724 3.724
```

***

# 2
Computed, not measured: crystalline LaNiSb3 at its relaxed geometry at the PBE level of DFT.

symmetry: Pbcm, No. 57
size of the total moment: 0.00 μB/f.u.
total energy: -5.232 eV/atom

```
40
Lattice="12.965 0.000 0.000 0.000 6.282 0.000 0.000 0.000 12.271" Properties=species:S:1:pos:R:3 pbc="T T T"
La 2.557 1.409 3.068
La 2.557 1.732 9.203
La 2.609 4.712 0.000
La 2.609 4.712 6.135
La 10.356 1.571 0.000
La 10.356 1.571 6.135
La 10.408 4.550 3.068
La 10.408 4.873 9.203
Ni 5.228 0.281 7.805
Ni 5.228 0.281 10.601
Ni 5.228 2.860 1.669
Ni 5.228 2.860 4.466
Ni 7.737 3.422 7.805
Ni 7.737 3.422 10.601
Ni 7.737 6.001 1.669
Ni 7.737 6.001 4.466
Sb 0.037 0.071 7.652
Sb 0.037 0.071 10.754
Sb 0.037 3.070 1.517
Sb 0.037 3.070 4.618
Sb 3.634 1.571 0.000
Sb 3.634 1.571 6.135
Sb 3.716 4.559 3.068
Sb 3.716 4.864 9.203
Sb 5.764 0.611 3.068
Sb 5.764 2.530 9.203
Sb 6.128 4.712 0.000
Sb 6.128 4.712 6.135
Sb 6.837 1.571 0.000
Sb 6.837 1.571 6.135
Sb 7.201 3.752 3.068
Sb 7.201 5.671 9.203
Sb 9.249 1.418 3.068
Sb 9.249 1.723 9.203
Sb 9.331 4.712 0.000
Sb 9.331 4.712 6.135
Sb 12.928 3.212 7.652
Sb 12.928 3.212 10.754
Sb 12.928 6.211 1.517
Sb 12.928 6.211 4.618
```

***

# 3
Computed, not measured: crystalline Sm2TeC2 at its relaxed geometry at the PBE level of DFT.

symmetry: Pnma, No. 62
size of the total moment: 0.01 μB/f.u.
total energy: -6.189 eV/atom

```
20
Lattice="7.670 0.000 0.000 0.000 5.116 0.000 0.000 0.000 10.246" Properties=species:S:1:pos:R:3 pbc="T T T"
Sm 0.394 1.279 2.140
Sm 1.036 1.279 6.007
Sm 2.799 3.837 0.884
Sm 3.441 3.837 7.263
Sm 4.230 1.279 2.983
Sm 4.871 1.279 9.362
Sm 6.634 3.837 4.239
Sm 7.276 3.837 8.107
Te 1.681 1.279 9.368
Te 2.154 3.837 4.245
Te 5.516 1.279 6.001
Te 5.989 3.837 0.878
C 0.759 3.837 2.503
C 0.901 3.837 6.096
C 2.934 1.279 0.973
C 3.076 1.279 7.626
C 4.594 3.837 2.620
C 4.736 3.837 9.274
C 6.769 1.279 4.150
C 6.912 1.279 7.743
```

***

# 4
Computed, not measured: crystalline Li4MoS5 at its relaxed geometry at the PBE level of DFT.

symmetry: P-1, No. 2
size of the total moment: 0.00 μB/f.u.
total energy: -4.810 eV/atom

```
20
Lattice="6.278 0.000 0.000 -1.190 6.172 0.000 -1.820 -3.529 8.361" Properties=species:S:1:pos:R:3 pbc="T T T"
Li 0.000 0.000 0.000
Li -1.146 3.009 1.908
Li -2.006 2.933 4.843
Li 1.220 -1.962 7.500
Li 2.229 -1.764 4.180
Li 2.048 4.605 0.861
Li 5.274 -0.290 3.518
Li 4.414 -0.366 6.453
Mo 2.079 1.250 2.230
Mo 1.189 1.393 6.131
S 0.957 2.296 0.549
S -0.871 1.900 6.938
S 1.117 -0.810 2.076
S 0.258 -0.966 5.496
S 0.280 1.950 3.849
S 2.988 0.693 4.512
S 3.010 3.610 2.865
S 2.151 3.453 6.285
S 4.139 0.743 1.423
S 2.311 0.347 7.812
```

***

# 5
Computed, not measured: crystalline Er3Mg3TlIn2 at its relaxed geometry at the PBE level of DFT.

symmetry: P-62m, No. 189
size of the total moment: 0.00 μB/f.u.
total energy: -3.258 eV/atom

```
9
Lattice="7.479 0.000 0.000 -3.740 6.477 0.000 0.000 0.000 4.637" Properties=species:S:1:pos:R:3 pbc="T T T"
Er -2.119 3.671 0.000
Er 1.620 2.806 0.000
Er 4.239 0.000 0.000
Mg -0.910 1.576 2.319
Mg 1.820 0.000 2.319
Mg 2.830 4.901 2.319
Tl 0.000 0.000 0.000
In 0.000 4.318 2.319
In 3.740 2.159 2.319
```

***

# 6
Computed, not measured: crystalline NaZrSnIr at its relaxed geometry at the PBE level of DFT.

symmetry: F-43m, No. 216
size of the total moment: 0.00 μB/f.u.
offset from the most stable computed form: 0 meV per atom
total energy: -6.112 eV/atom

```
16
Lattice="6.647 0.000 0.000 0.000 6.647 0.000 0.000 0.000 6.647" Properties=species:S:1:pos:R:3 pbc="T T T"
Na 0.000 0.000 0.000
Na 0.000 3.323 3.323
Na 3.323 0.000 3.323
Na 3.323 3.323 0.000
Zr 1.662 1.662 4.985
Zr 1.662 4.985 1.662
Zr 4.985 1.662 1.662
Zr 4.985 4.985 4.985
Sn 1.662 1.662 1.662
Sn 1.662 4.985 4.985
Sn 4.985 1.662 4.985
Sn 4.985 4.985 1.662
Ir 0.000 0.000 3.323
Ir 0.000 3.323 0.000
Ir 3.323 0.000 0.000
Ir 3.323 3.323 3.323
```

***

# 7
Computed, not measured: crystalline BeTlInPd at its relaxed geometry at the PBE level of DFT.

symmetry: F-43m, No. 216
offset from the most stable computed form: 0 meV per atom
total energy: -3.219 eV/atom

```
16
Lattice="6.701 0.000 0.000 0.000 6.701 0.000 0.000 0.000 6.701" Properties=species:S:1:pos:R:3 pbc="T T T"
Be 0.000 0.000 0.000
Be 0.000 3.350 3.350
Be 3.350 0.000 3.350
Be 3.350 3.350 0.000
Tl 1.675 1.675 1.675
Tl 1.675 5.025 5.025
Tl 5.025 1.675 5.025
Tl 5.025 5.025 1.675
In 1.675 1.675 5.025
In 1.675 5.025 1.675
In 5.025 1.675 1.675
In 5.025 5.025 5.025
Pd 0.000 0.000 3.350
Pd 0.000 3.350 0.000
Pd 3.350 0.000 0.000
Pd 3.350 3.350 3.350
```

***

# 8
Computed, not measured: crystalline FeMoP at its relaxed geometry at the PBE level of DFT.

symmetry: P6_3mc, No. 186
size of the total moment: 0.71 μB/f.u.
total energy: -8.424 eV/atom

```
6
Lattice="3.871 0.000 0.000 -1.936 3.353 0.000 0.000 0.000 5.839" Properties=species:S:1:pos:R:3 pbc="T T T"
Fe 0.000 2.235 0.000
Fe 1.936 1.118 2.920
Mo 0.000 0.000 1.043
Mo 0.000 0.000 3.963
P 0.000 2.235 2.322
P 1.936 1.118 5.242
```

***

# 9
Computed, not measured: crystalline Zr4BiAsC2 at its relaxed geometry at the PBE level of DFT.

symmetry: P-6m2, No. 187
size of the total moment: 0.01 μB/f.u.
total energy: -8.484 eV/atom

```
8
Lattice="3.465 0.000 0.000 -1.732 3.001 0.000 0.000 0.000 13.684" Properties=species:S:1:pos:R:3 pbc="T T T"
Zr 0.000 0.000 1.928
Zr 0.000 0.000 11.756
Zr 0.000 2.001 4.395
Zr 0.000 2.001 9.289
Bi 0.000 0.000 6.842
As 0.000 2.001 0.000
C 1.732 1.000 3.196
C 1.732 1.000 10.488
```

***

# 10
Computed, not measured: crystalline Pu3TlSb5 at its relaxed geometry at the PBE level of DFT.

symmetry: P6/mmm, No. 191
size of the total moment: 16.28 μB/f.u.
total energy: -7.462 eV/atom

```
9
Lattice="6.414 0.000 0.000 -3.207 5.555 0.000 0.000 0.000 7.848" Properties=species:S:1:pos:R:3 pbc="T T T"
Pu -1.604 2.777 0.000
Pu 3.207 0.000 0.000
Pu 1.604 2.777 0.000
Tl 0.000 0.000 3.924
Sb 0.000 0.000 0.000
Sb 0.000 3.703 2.530
Sb 0.000 3.703 5.319
Sb 3.207 1.852 2.530
Sb 3.207 1.852 5.319
```

***

# 11
Computed, not measured: crystalline PmSnTe at its relaxed geometry at the PBE level of DFT.

symmetry: F-43m, No. 216
size of the total moment: 0.01 μB/f.u.
offset from the most stable computed form: 0 meV per atom
total energy: -4.389 eV/atom

```
12
Lattice="7.379 0.000 0.000 0.000 7.379 0.000 0.000 0.000 7.379" Properties=species:S:1:pos:R:3 pbc="T T T"
Pm 0.000 0.000 0.000
Pm 0.000 3.689 3.689
Pm 3.689 0.000 3.689
Pm 3.689 3.689 0.000
Sn 0.000 0.000 3.689
Sn 0.000 3.689 0.000
Sn 3.689 0.000 0.000
Sn 3.689 3.689 3.689
Te 1.845 1.845 1.845
Te 1.845 5.534 5.534
Te 5.534 1.845 5.534
Te 5.534 5.534 1.845
```

***

# 12
Computed, not measured: crystalline TbNpBr6 at its relaxed geometry at the PBE level of DFT.

symmetry: C2, No. 5
size of the total moment: 4.00 μB/f.u.
total energy: -5.050 eV/atom

```
16
Lattice="7.404 0.000 0.000 0.000 12.745 0.000 -2.535 0.000 6.774" Properties=species:S:1:pos:R:3 pbc="T T T"
Tb 0.000 0.000 0.000
Tb 3.702 6.373 0.000
Np 0.000 8.469 0.000
Np 3.702 2.097 0.000
Br 1.025 10.648 1.602
Br -0.222 0.135 5.159
Br -0.123 8.301 5.172
Br 1.290 1.928 1.602
Br 1.389 6.508 1.615
Br 0.143 4.276 5.172
Br 4.727 4.276 1.602
Br 3.480 6.508 5.159
Br 3.580 1.928 5.172
Br 4.992 8.301 1.602
Br 5.092 0.135 1.615
Br 3.845 10.648 5.172
```

***

The highest total energy belongs to which entry? BeTlInPd

***

Please write out number 1 again, unchanged.
Computed, not measured: crystalline TbLuNp at its relaxed geometry at the PBE level of DFT.

symmetry: F-43m, No. 216
size of the total moment: 5.12 μB/f.u.
ΔH_f (0 K): 26.4 kcal/mol of atoms
total energy: -6.165 eV/atom

```
12
Lattice="7.448 0.000 0.000 0.000 7.448 0.000 0.000 0.000 7.448" Properties=species:S:1:pos:R:3 pbc="T T T"
Tb 0.000 0.000 0.000
Tb 0.000 3.724 3.724
Tb 3.724 0.000 3.724
Tb 3.724 3.724 0.000
Lu 1.862 1.862 5.586
Lu 1.862 5.586 1.862
Lu 5.586 1.862 1.862
Lu 5.586 5.586 5.586
Np 0.000 0.000 3.724
Np 0.000 3.724 0.000
Np 3.724 0.000 0.000
Np 3.724 3.724 3.724
```